DFT (PBE with a Hubbard U) results for crystalline SrNiO at its relaxed geometry.

a = 12.9663 Å, b = 3.6931 Å, c = 4.5964 Å
α = 90.00°, β = 100.21°, γ = 90.00°
Space group Cm (No. 8)
Asymmetric unit:
Sr: 0.0000 0.0000 0.0000 (multiplicity 2)
Sr: 0.2204 0.0000 0.7230 (multiplicity 2)
Ni: 0.2644 0.5000 0.2223 (multiplicity 2)
Ni: 0.4054 0.0000 0.4353 (multiplicity 2)
O: 0.1347 0.5000 0.9645 (multiplicity 2)
O: 0.3977 0.5000 0.4660 (multiplicity 2)

Output
* crystal system: monoclinic
* volume: 18.051 Å³/atom
* total magnetic moment: 0.0 μB/f.u.
* VASP energy: -4.014 eV per atom
* DOS at the Fermi energy: 0.00 states/eV per cell